DFT (meta-GGA SCAN) results for a crystal of BaLaTa2 relaxed with PBEsol.

Lattice parameters (Å, degrees): 5.6617 5.6617 3.1498 90.00 90.00 90.00
With the nearest neighbours (Å) after each atom.
Positions (direct):
Ba1 0.0000 0.0000 0.0000  2 Ba 3.15, 8 Ta 3.24
La1 0.5000 0.5000 0.0000  2 La 3.15, 8 Ta 3.24
Ta1 0.0000 0.5000 0.5000  2 Ta 3.15, 4 La 3.24, 4 Ba 3.24
Ta2 0.5000 0.0000 0.5000  2 Ta 3.15, 4 La 3.24, 4 Ba 3.24

Results
magnetization = 0.00 Bohr magnetons per cell
VASP energy = -52.57 eV per atom
crystal system = tetragonal
formation enthalpy at 0 K = 1.387 eV/atom
DOS(E_F) = 4.24 states/eV/f.u.
excess energy over the best structure of this formula in the dataset = 343.0 kJ/mol of formula units